1.
Material: Re2AsSF
Method: DFT, PBE
State: optimized geometry

Cell and atoms, written as POSCAR:
```
Re2AsSF
1.0
-0.126 3.003 3.615
-3.031 -2.108 1.646
3.108 -2.659 2.317
S Re F As
1 2 1 1
direct
0.500 0.500 0.500 S
0.500 0.000 0.000 Re
0.000 0.000 0.500 Re
0.000 0.500 0.000 F
0.000 0.000 0.000 As
```

Results
Its uncorrected formation energy is 1.12 eV per atom. As for the symmetry: P4/mmm. The value obtained for the calculated total energy is -5.987 eV/atom.


2.
Material: CdNiHg
Method: DFT, PBE
State: optimized geometry

Cell and atoms, written as POSCAR:
```
CdNiHg
1.0
4.544 0.000 0.000
-2.272 3.935 0.000
0.000 0.000 3.046
Hg Cd Ni
1 1 1
direct
0.667 0.333 0.446 Hg
0.000 0.000 0.989 Cd
0.333 0.667 0.565 Ni
```

Results
As for the symmetry: P3m1. The value obtained for the calculated total energy is -2.118 eV/atom. The value obtained for the formation energy from the elements is 0.21 eV/atom. Its excess energy over the best structure of this formula in the dataset is 0.112 eV per atom.


Number 1: magnetic moment 3.49 Bohr magnetons per cell, DOS(E_F) 3.62 states/eV/f.u.. Number 2: magnetic moment 0.00 Bohr magnetons per cell, DOS(E_F) 2.30 states/eV/f.u..